NiTeIrRu (PBE, optimized geometry); uncorrected formation energy = 0.267 eV per atom; symmetry = Pmm2, No. 25; size of the total moment = 0.00 μB/cell
1.0
4.077 0.000 0.000
0.000 3.990 0.000
0.000 0.000 3.698
Ir Te Ni Ru
1 1 1 1
Direct
0.500 0.000 0.247 Ir
0.000 0.000 0.755 Te
0.500 0.500 0.754 Ni
0.000 0.500 0.263 Ru